! PBE BaBeOs2, relaxed; values from VASP
! - N(E_F) (states/eV/f.u.) = 4.01
! - uncorrected energy (eV/atom) = -6.172
! - total magnetization (Bohr magnetons per cell) = 0.00
! - symmetry = No. 10
&SYSTEM
  ibrav = 0, nat = 4, ntyp = 3
/
ATOMIC_SPECIES
Be 9.01 Be.upf
Os 190.23 Os.upf
Ba 137.33 Ba.upf
ATOMIC_POSITIONS angstrom
Be 1.980 2.723 4.988
Os 0.000 3.496 6.012
Os 0.000 1.950 3.965
Ba 1.980 0.908 1.663
CELL_PARAMETERS angstrom
3.960 0.000 0.000
0.000 2.924 -0.035
0.000 0.707 6.686